# 1
The following is a PBE-GGA calculation of an optimized crystal structure of SnPtIO2, from the Alexandria database.

Calculated density in g cm⁻³: 7.3
Energy relative to the lowest polymorph listed for this composition in meV/atom: 0
DOS(E_F) in states/eV per atom: 0.885
Spin magnetization in μB per cell: 0.0
Energy relative to the elements, uncorrected in eV per atom: -0.237

Cell: 3.9169 3.9169 7.0164 Å, 90.00 90.00 90.00°
With the nearest neighbours (Å) after each atom.
Fractional coordinates of all 5 atoms:
Sn 0.0000 0.0000 0.0000  4 O 1.96
I 0.0000 0.0000 0.5000  4 Pt 2.77
Pt 0.5000 0.5000 0.5000  4 I 2.77
O 0.0000 0.5000 0.0000  2 Sn 1.96
O 0.5000 0.0000 0.0000  2 Sn 1.96



# 2
The following is a PBE-GGA calculation of an optimized crystal structure of CoTe3As, from the Alexandria database.

Calculated density in g cm⁻³: 6.9
Energy relative to the lowest polymorph listed for this composition in meV/atom: 0
DOS(E_F) in states/eV per atom: 1.366
Spin magnetization in μB per cell: 0.0
Energy relative to the elements, uncorrected in eV per atom: 0.502

Cell: 4.9827 4.9827 4.9827 Å, 90.00 90.00 90.00°
With the nearest neighbours (Å) after each atom.
Fractional coordinates of all 5 atoms:
Te 0.0000 0.0000 0.5000  2 Co 2.49
Te 0.5000 0.0000 0.0000  2 Co 2.49
Te 0.0000 0.5000 0.0000  2 Co 2.49
Co 0.0000 0.0000 0.0000  6 Te 2.49
As 0.5000 0.5000 0.5000  12 Te 3.52



# 3
The following is a PBE-GGA calculation of an optimized crystal structure of Ca2BrF, from the Alexandria database.

Calculated density in g cm⁻³: 2.6
Energy relative to the lowest polymorph listed for this composition in meV/atom: 0
DOS(E_F) in states/eV per atom: 0.571
Spin magnetization in μB per cell: 2.8
Energy relative to the elements, uncorrected in eV per atom: -1.880

Cell: 6.2545 6.2545 7.4217 Å, 65.08 65.08 90.00°
With the nearest neighbours (Å) after each atom.
Fractional coordinates of all 8 atoms:
Ca 0.1980 0.6250 0.2500  2 F 2.43
Ca 0.3750 0.4480 0.7500  2 F 2.43
Ca 0.5520 0.1250 0.2500  2 F 2.43
Ca 0.8750 0.8020 0.7500  2 F 2.43
Br 0.7500 0.2500 0.5000  4 Ca 2.96
Br 0.0000 0.0000 0.0000  4 Ca 2.96
F 0.2500 0.7500 0.5000  4 Ca 2.43
F 0.5000 0.5000 0.0000  4 Ca 2.43



# 4
The following is a PBE-GGA calculation of an optimized crystal structure of La2InSe, from the Alexandria database.

Calculated density in g cm⁻³: 4.6
Energy relative to the lowest polymorph listed for this composition in meV/atom: 558
DOS(E_F) in states/eV per atom: 0.845
Spin magnetization in μB per cell: 0.0
Energy relative to the elements, uncorrected in eV per atom: -0.601

Cell: 6.8153 6.8153 8.8086 Å, 67.24 67.24 90.00°
With the nearest neighbours (Å) after each atom.
Fractional coordinates of all 8 atoms:
La 0.8750 0.8462 0.7500  2 Se 2.93, 2 In 3.15
La 0.3750 0.4038 0.7500  2 Se 2.93, 2 In 3.15
La 0.5962 0.1250 0.2500  2 Se 2.93, 2 In 3.15
La 0.1538 0.6250 0.2500  2 Se 2.93, 2 In 3.15
In 0.7500 0.2500 0.5000  4 La 3.15
In 0.0000 0.0000 0.0000  4 La 3.15
Se 0.5000 0.5000 0.0000  4 La 2.93
Se 0.2500 0.7500 0.5000  4 La 2.93



- Among the records above, which one has the highest energy relative to the elements, uncorrected?
  CoTe3As